(1)
Al2CdReMo after structural relaxation. Source: Alexandria via LeMat-Bulk, functional PBE.

The space group is P4/mmm (No. 123) and the conventional cell measures 4.645, 4.645 and 5.003 Å, with angles of 90.00, 90.00 and 90.00 degrees. The asymmetric unit holds Al at (0.000, 0.500, 0.000), Cd at (0.000, 0.000, 0.000), Re at (0.000, 0.000, 0.500) and Mo at (0.500, 0.500, 0.500).

The total magnetization is 3.77 μB per cell. Its density of states at the Fermi level is 4.59 states/eV/f.u. As for the energy of formation: 2024 meV/atom.

***

(2)
AlCdTcMo2 after structural relaxation. Source: Alexandria via LeMat-Bulk, functional PBE.

The space group is P4/mmm (No. 123) and the conventional cell measures 4.920, 4.920 and 4.466 Å, with angles of 90.00, 90.00 and 90.00 degrees. The asymmetric unit holds Al at (0.000, 0.000, 0.000), Cd at (0.000, 0.000, 0.500), Tc at (0.500, 0.500, 0.000) and Mo at (0.000, 0.500, 0.500).

The total magnetization is 2.78 μB per cell. Its density of states at the Fermi level is 6.88 states/eV/f.u. As for the energy of formation: 2338 meV/atom.

***

(3)
Al2Cd3N4 after structural relaxation. Source: Alexandria via LeMat-Bulk, functional PBE.

The space group is C2/c (No. 15) and the conventional cell measures 9.595, 9.172 and 5.610 Å, with angles of 90.00, 93.49 and 90.00 degrees. The asymmetric unit holds Al at (0.226, 0.114, 0.403), Cd at (0.000, 0.106, 0.750), Cd at (0.111, 0.337, 0.068), N at (0.112, 0.279, 0.493) and N at (0.196, 0.062, 0.073).

The total magnetization is 0.00 μB per cell. Its density of states at the Fermi level is 1.14 states/eV/f.u. For the uncorrected formation energy, the calculation gives -0.173 eV/atom.

***

(4)
AlCd3N after structural relaxation. Source: Alexandria via LeMat-Bulk, functional PBE.

The space group is Pm-3m (No. 221) and the conventional cell measures 5.266, 5.266 and 5.266 Å, with angles of 90.00, 90.00 and 90.00 degrees. The asymmetric unit holds Al at (0.000, 0.000, 0.000), Cd at (0.000, 0.000, 0.500) and N at (0.500, 0.500, 0.500).

The total magnetization is 2.19 μB per cell. Its density of states at the Fermi level is 2.54 states/eV/f.u. For the uncorrected formation energy, the calculation gives 1.221 eV/atom. The energy above the most stable polymorph in this dataset is 3.16 eV/f.u.

***

(5)
Al2CdN after structural relaxation. Source: Alexandria via LeMat-Bulk, functional PBE.

The space group is Fm-3m (No. 225) and the conventional cell measures 6.369, 6.369 and 6.369 Å, with angles of 90.00, 90.00 and 90.00 degrees. The asymmetric unit holds Al at (0.250, 0.250, 0.250), Cd at (0.000, 0.000, 0.000) and N at (0.000, 0.000, 0.500).

The total magnetization is 0.00 μB per cell. Its density of states at the Fermi level is 3.67 states/eV/f.u. For the uncorrected formation energy, the calculation gives 1.025 eV/atom. The energy above the most stable polymorph in this dataset is 4.85 eV/f.u.

***

(6)
Al2CdN after structural relaxation. Source: Alexandria via LeMat-Bulk, functional PBE.

The space group is I-42d (No. 122) and the conventional cell measures 5.566, 5.566 and 8.860 Å, with angles of 90.00, 90.00 and 90.00 degrees. The asymmetric unit holds Al at (0.131, 0.250, 0.125), Cd at (0.000, 0.000, 0.500) and N at (0.000, 0.000, 0.000).

The total magnetization is 0.00 μB per cell. Its density of states at the Fermi level is 1.91 states/eV/f.u. For the uncorrected formation energy, the calculation gives -0.187 eV/atom. The energy above the most stable polymorph in this dataset is 0.00 eV/f.u.

***

(7)
AlCd2N after structural relaxation. Source: Alexandria via LeMat-Bulk, functional PBE.

The space group is Fm-3m (No. 225) and the conventional cell measures 6.559, 6.559 and 6.559 Å, with angles of 90.00, 90.00 and 90.00 degrees. The asymmetric unit holds Al at (0.000, 0.000, 0.000), Cd at (0.250, 0.250, 0.250) and N at (0.000, 0.000, 0.500).

The total magnetization is 0.00 μB per cell. Its density of states at the Fermi level is 1.30 states/eV/f.u. For the uncorrected formation energy, the calculation gives 1.030 eV/atom. The energy above the most stable polymorph in this dataset is 1.51 eV/f.u.

***

(8)
AlCd2N after structural relaxation. Source: Alexandria via LeMat-Bulk, functional PBE.

The space group is I-42d (No. 122) and the conventional cell measures 6.268, 6.268 and 8.700 Å, with angles of 90.00, 90.00 and 90.00 degrees. The asymmetric unit holds Al at (0.000, 0.000, 0.000), Cd at (0.167, 0.250, 0.625) and N at (0.000, 0.000, 0.500).

The total magnetization is 0.00 μB per cell. Its density of states at the Fermi level is 0.34 states/eV/f.u. For the uncorrected formation energy, the calculation gives 0.651 eV/atom. The energy above the most stable polymorph in this dataset is 0.00 eV/f.u.

***

(9)
AlCd3N after structural relaxation. Source: Alexandria via LeMat-Bulk, functional PBE.

The space group is Pm-3m (No. 221) and the conventional cell measures 4.648, 4.648 and 4.648 Å, with angles of 90.00, 90.00 and 90.00 degrees. The asymmetric unit holds Al at (0.000, 0.000, 0.000), Cd at (0.000, 0.500, 0.500) and N at (0.500, 0.500, 0.500).

The total magnetization is 0.00 μB per cell. Its density of states at the Fermi level is 3.35 states/eV/f.u. For the uncorrected formation energy, the calculation gives 0.588 eV/atom. The energy above the most stable polymorph in this dataset is 0.00 eV/f.u.

***

(10)
Na2AlCdN after structural relaxation. Source: Alexandria via LeMat-Bulk, functional PBE.

The space group is P4/mmm (No. 123) and the conventional cell measures 5.250, 5.250 and 3.647 Å, with angles of 90.00, 90.00 and 90.00 degrees. The asymmetric unit holds Na at (0.000, 0.500, 0.000), Al at (0.000, 0.000, 0.500), Cd at (0.500, 0.500, 0.500) and N at (0.000, 0.000, 0.000).

The total magnetization is 0.00 μB per cell. Its density of states at the Fermi level is 2.04 states/eV/f.u. For the uncorrected formation energy, the calculation gives -0.089 eV/atom.

***

(11)
NbAlCd2N after structural relaxation. Source: Alexandria via LeMat-Bulk, functional PBE.

The space group is P4/mmm (No. 123) and the conventional cell measures 5.604, 5.604 and 3.950 Å, with angles of 90.00, 90.00 and 90.00 degrees. The asymmetric unit holds Nb at (0.000, 0.000, 0.000), Al at (0.500, 0.500, 0.500), Cd at (0.000, 0.500, 0.000) and N at (0.000, 0.000, 0.500).

The total magnetization is 0.00 μB per cell. Its density of states at the Fermi level is 3.03 states/eV/f.u. For the uncorrected formation energy, the calculation gives 0.651 eV/atom.

***

(12)
Nd12Al4CdN3 after structural relaxation. Source: Alexandria via LeMat-Bulk, functional PBE.

The space group is Im-3m (No. 229) and the conventional cell measures 10.329, 10.329 and 10.329 Å, with angles of 90.00, 90.00 and 90.00 degrees. The asymmetric unit holds Nd at (0.000, 0.000, 0.276), Nd at (0.000, 0.250, 0.500), Al at (0.250, 0.250, 0.250), Cd at (0.000, 0.000, 0.000) and N at (0.000, 0.000, 0.500).

The total magnetization is 0.00 μB per cell. Its density of states at the Fermi level is 16.58 states/eV/f.u. For the uncorrected formation energy, the calculation gives -0.410 eV/atom.